# 1
Below is a geometry-optimized Sc2MnZn structure, with properties calculated at the PBE level.

abc: 3.249 4.647 9.906
angles: 90.00 90.00 90.00
Space group Imm2 (No. 44)
Inequivalent atoms, fractional coordinates:
Sc 0.000 0.000 0.000 (multiplicity 2)
Sc 0.000 0.500 0.211 (multiplicity 2)
Mn 0.000 0.000 0.451 (multiplicity 2)
Zn 0.000 0.500 0.749 (multiplicity 2)

Calculated density in g/cm³: 4.670
Density of states at the Fermi level in states/eV per cell: 8.35
E_tot in eV/atom: -5.845
Crystal system: orthorhombic
ΔE_f in eV/atom: -0.07

=====

# 2
Below is a geometry-optimized ScMn2Zn structure, with properties calculated at the PBE level.

abc: 3.999 3.999 7.676
angles: 90.00 90.00 90.00
Space group I4/mmm (No. 139)
Inequivalent atoms, fractional coordinates:
Sc 0.000 0.000 0.000 (multiplicity 2)
Mn 0.000 0.500 0.250 (multiplicity 4)
Zn 0.000 0.000 0.500 (multiplicity 2)

Calculated density in g/cm³: 5.958
Density of states at the Fermi level in states/eV per cell: 8.18
E_tot in eV/atom: -6.426
Crystal system: tetragonal
ΔE_f in eV/atom: 0.06

=====

# 3
Below is a geometry-optimized Sc2MnZn structure, with properties calculated at the PBE level.

abc: 10.398 3.100 4.856
angles: 90.00 109.12 90.00
Space group Cm (No. 8)
Inequivalent atoms, fractional coordinates:
Sc 0.000 0.000 0.000 (multiplicity 2)
Sc 0.207 0.000 0.643 (multiplicity 2)
Mn 0.450 0.000 0.476 (multiplicity 2)
Zn 0.252 0.500 0.174 (multiplicity 2)

Calculated density in g/cm³: 4.721
Density of states at the Fermi level in states/eV per cell: 7.69
E_tot in eV/atom: -5.856
Crystal system: monoclinic
ΔE_f in eV/atom: -0.08

=====

# 4
Below is a geometry-optimized ScMn2Zn structure, with properties calculated at the PBE level.

abc: 7.124 7.124 5.468
angles: 90.00 90.00 90.00
Space group I-42d (No. 122)
Inequivalent atoms, fractional coordinates:
Sc 0.000 0.000 0.000 (multiplicity 4)
Mn 0.220 0.250 0.625 (multiplicity 8)
Zn 0.000 0.000 0.500 (multiplicity 4)

Calculated density in g/cm³: 5.271
Density of states at the Fermi level in states/eV per cell: 19.84
E_tot in eV/atom: -6.089
Crystal system: tetragonal
ΔE_f in eV/atom: 0.40

=====

# 5
Below is a geometry-optimized ScMn2Zn structure, with properties calculated at the PBE level.

abc: 2.9509 2.9509 25.4583
angles: 90.00 90.00 120.00
Space group R3m (No. 160, hexagonal axes)
Inequivalent atoms, fractional coordinates:
Sc 0.0000 0.0000 0.0000 (multiplicity 3)
Mn 0.0000 0.0000 0.2472 (multiplicity 3)
Mn 0.0000 0.0000 0.5102 (multiplicity 3)
Zn 0.0000 0.0000 0.7615 (multiplicity 3)

Calculated density in g/cm³: 5.715
Density of states at the Fermi level in states/eV per cell: 11.60
E_tot in eV/atom: -6.285
Crystal system: trigonal
ΔE_f in eV/atom: 0.20

=====

# 6
Below is a geometry-optimized Sc4MnZn3 structure, with properties calculated at the PBE level.

abc: 3.311 3.311 13.517
angles: 90.00 90.00 90.00
Space group P4/mmm (No. 123)
Inequivalent atoms, fractional coordinates:
Sc 0.000 0.000 0.119 (multiplicity 2)
Sc 0.000 0.000 0.374 (multiplicity 2)
Mn 0.500 0.500 0.000 (multiplicity 1)
Zn 0.500 0.500 0.248 (multiplicity 2)
Zn 0.500 0.500 0.500 (multiplicity 1)

Calculated density in g/cm³: 4.830
Density of states at the Fermi level in states/eV per cell: 9.06
E_tot in eV/atom: -5.049
Crystal system: tetragonal
ΔE_f in eV/atom: -0.26